No. 1
Compound: PuMgRu2
Source: the Alexandria database
Functional: PBE-GGA
Structure: optimized geometry

Results
ΔH_f (0 K): -0.46 eV per formula unit
calculated total energy: -0.64191 Ry per atom
SG: P4/mmm

a b c (Å): 3.2880 3.2880 6.3749
angles (deg): 90.00 90.00 90.00
With the nearest neighbours (Å) after each atom.
Element x y z (fractional)
Pu  0.5000  0.5000  0.0000  8 Ru 2.80
Ru  0.0000  0.0000  0.2452  4 Pu 2.80, 4 Mg 2.84, 1 Ru 3.13
Ru  0.0000  0.0000  0.7548  4 Pu 2.80, 4 Mg 2.84, 1 Ru 3.13
Mg  0.5000  0.5000  0.5000  8 Ru 2.84



No. 2
Compound: TlTeAu2
Source: the Alexandria database
Functional: PBE-GGA
Structure: optimized geometry

Results
raw formation energy: 0.455 eV per formula unit
calculated total energy: -0.21330 Ry per atom
SG: Immm
ΔE to the lowest computed polymorph: 129 meV/atom

a b c (Å): 5.3579 5.3579 5.3579
angles (deg): 132.01 111.33 88.11
With the nearest neighbours (Å) after each atom.
Element x y z (fractional)
Te  0.2500  0.7500  0.5000  4 Au 2.85
Au  0.4887  0.4887  0.0000  2 Te 2.85, 2 Tl 2.97
Au  0.0113  0.0113  0.0000  2 Te 2.85, 2 Tl 2.97
Tl  0.7500  0.2500  0.5000  4 Au 2.97



No. 3
Compound: Cs3ScS
Source: the Alexandria database
Functional: PBE-GGA
Structure: optimized geometry

Results
raw formation energy: 0.193 eV per formula unit
calculated total energy: -0.18855 Ry per atom
SG: Pm-3m

a b c (Å): 6.8172 6.8172 6.8172
angles (deg): 90.00 90.00 90.00
With the nearest neighbours (Å) after each atom.
Element x y z (fractional)
S  0.0000  0.0000  0.0000  6 Cs 3.41
Sc  0.5000  0.5000  0.5000  12 Cs 4.82
Cs  0.0000  0.5000  0.0000  2 S 3.41
Cs  0.0000  0.0000  0.5000  2 S 3.41
Cs  0.5000  0.0000  0.0000  2 S 3.41



No. 4
Compound: GaTe2RhN
Source: the Alexandria database
Functional: PBE-GGA
Structure: optimized geometry

Results
raw formation energy: 1.496 eV per formula unit
calculated total energy: -0.34532 Ry per atom
SG: P4/mmm
ΔE to the lowest computed polymorph: 0 meV/atom

a b c (Å): 5.6031 5.6031 3.6411
angles (deg): 90.00 90.00 90.00
With the nearest neighbours (Å) after each atom.
Element x y z (fractional)
Rh  0.0000  0.0000  0.0000  2 N 1.82
Ga  0.5000  0.5000  0.5000  8 Te 3.34, 2 Ga 3.64
Te  0.0000  0.5000  0.0000  2 Rh 2.80
Te  0.5000  0.0000  0.0000  2 Rh 2.80
N  0.0000  0.0000  0.5000  2 Rh 1.82



No. 5
Compound: K3AlGe
Source: the Alexandria database
Functional: PBE-GGA
Structure: optimized geometry

Results
ΔH_f (0 K): 2.97 eV per formula unit
calculated total energy: -0.12759 Ry per atom
SG: Pm-3m
ΔE to the lowest computed polymorph: 0 meV/atom

a b c (Å): 6.4501 6.4501 6.4501
angles (deg): 90.00 90.00 90.00
With the nearest neighbours (Å) after each atom.
Element x y z (fractional)
K  0.0000  0.5000  0.0000  2 Ge 3.23
K  0.0000  0.0000  0.5000  2 Ge 3.23
K  0.5000  0.0000  0.0000  2 Ge 3.23
Ge  0.0000  0.0000  0.0000  6 K 3.23
Al  0.5000  0.5000  0.5000  12 K 4.56



No. 6
Compound: CaCr2Re
Source: the Alexandria database
Functional: PBE-GGA
Structure: optimized geometry

Results
ΔH_f (0 K): 2.19 eV per formula unit
calculated total energy: -0.57893 Ry per atom
SG: P2/m
ΔE to the lowest computed polymorph: 63 meV/atom

a b c (Å): 4.0313 2.8481 6.3105
angles (deg): 78.99 90.00 90.00
With the nearest neighbours (Å) after each atom.
Element x y z (fractional)
Cr  0.0000  0.9424  0.0934  1 Cr 2.07
Cr  0.0000  0.5576  0.4066  1 Cr 2.07
Ca  0.5000  0.7500  0.7500  2 Ca 2.85, 4 Cr 3.08
Re  0.5000  0.2500  0.2500  4 Cr 2.48



Number 1: size of the total moment 3.55 μB/f.u.. Number 2: size of the total moment 0.00 μB/f.u.. Number 3: size of the total moment 1.99 μB/f.u.. Number 4: size of the total moment 0.00 μB/f.u.. Number 5: size of the total moment 0.00 μB/f.u.. Number 6: size of the total moment 0.00 μB/f.u..